[1]
ZrCdPt2, relaxed, DFT PBE; E_form = -248 meV per atom; crystal system = trigonal; E = -0.2071 hartree per atom; ρ = 13.5 g/cm³; total moment = 0.000 μB/f.u.
1.0
2.9594 0.0000 0.0000
-1.4797 2.5629 0.0000
0.0000 0.0000 28.8391
Zr Cd Pt
3 3 6
Cartesian
0.0000 0.0000 0.0000 Zr
0.0000 1.7086 19.2261 Zr
1.4797 0.8543 9.6130 Zr
0.0000 0.0000 6.9251 Cd
0.0000 1.7086 26.1512 Cd
1.4797 0.8543 16.5382 Cd
0.0000 0.0000 14.2419 Pt
0.0000 0.0000 21.5052 Pt
0.0000 1.7086 4.6289 Pt
0.0000 1.7086 11.8922 Pt
1.4797 0.8543 2.2791 Pt
1.4797 0.8543 23.8550 Pt



[2]
ZrCdPt2, relaxed, DFT PBE; E_form = -672 meV per atom; crystal system = tetragonal; E = -0.2226 hartree per atom; ρ = 13.7 g/cm³; total moment = 0.000 μB/f.u.
1.0
4.0686 0.0000 0.0000
0.0000 4.0686 0.0000
0.0000 0.0000 8.6676
Zr Cd Pt
2 2 4
Cartesian
0.0000 0.0000 0.0000 Zr
2.0343 2.0343 4.3338 Zr
0.0000 2.0343 6.5007 Cd
2.0343 0.0000 2.1669 Cd
0.0000 0.0000 4.3338 Pt
0.0000 2.0343 2.1669 Pt
2.0343 0.0000 6.5007 Pt
2.0343 2.0343 0.0000 Pt



[3]
ZrCdPt2, relaxed, DFT PBE; E_form = -572 meV per atom; crystal system = tetragonal; E = -0.2190 hartree per atom; ρ = 13.1 g/cm³; total moment = 0.000 μB/f.u.
1.0
3.6402 0.0000 0.0000
0.0000 3.6402 0.0000
0.0000 0.0000 5.6724
Zr Cd Pt
1 1 2
Cartesian
0.0000 0.0000 0.0000 Zr
1.8201 1.8201 1.8163 Cd
0.0000 0.0000 2.9484 Pt
1.8201 1.8201 4.6144 Pt



[4]
Zr2CdPt, relaxed, DFT PBE; E_form = -501 meV per atom; crystal system = tetragonal; E = -0.2394 hartree per atom; ρ = 9.9 g/cm³; total moment = 0.000 μB/f.u.
1.0
3.4401 0.0000 0.0000
0.0000 3.4401 0.0000
0.0000 0.0000 6.9290
Zr Cd Pt
2 1 1
Cartesian
0.0000 0.0000 0.0000 Zr
1.7200 1.7200 1.9850 Zr
0.0000 0.0000 3.8396 Cd
1.7200 1.7200 5.5284 Pt



What is the total moment in the first record? 0.000 μB/f.u.



Number 3 is which compound? ZrCdPt2



Repeat the third record exactly.
ZrCdPt2, relaxed, DFT PBE; E_form = -572 meV per atom; crystal system = tetragonal; E = -0.2190 hartree per atom; ρ = 13.1 g/cm³; total moment = 0.000 μB/f.u.
1.0
3.6402 0.0000 0.0000
0.0000 3.6402 0.0000
0.0000 0.0000 5.6724
Zr Cd Pt
1 1 2
Cartesian
0.0000 0.0000 0.0000 Zr
1.8201 1.8201 1.8163 Cd
0.0000 0.0000 2.9484 Pt
1.8201 1.8201 4.6144 Pt